Record 1
YCo2Re2 | PBE | relaxed

## Properties
space-group type = P4/mbm, No. 127
energy above the most stable polymorph in this dataset = 0.164 eV per atom
DFT formation energy = 0.206 eV per atom
VASP energy = -89.09 eV/cell
crystal system = tetragonal

Structure (extended XYZ):
```
10
Lattice="7.482 0.000 0.000 0.000 7.482 0.000 0.000 0.000 2.678" Properties=species:S:1:pos:R:3 pbc="T T T"
Y 0.000 0.000 0.000
Y 3.741 3.741 0.000
Co 0.894 2.847 0.000
Co 2.847 6.588 0.000
Co 4.635 0.894 0.000
Co 6.588 4.635 0.000
Re 1.278 5.019 1.339
Re 2.463 1.278 1.339
Re 5.019 6.204 1.339
Re 6.204 2.463 1.339
```

=====

Record 2
YCoRe | PBE | relaxed

## Properties
space-group type = I4mm, No. 107
energy above the most stable polymorph in this dataset = 0.315 eV per atom
DFT formation energy = 0.179 eV per atom
VASP energy = -25.48 eV/cell
crystal system = tetragonal

Structure (extended XYZ):
```
3
Lattice="-1.510 1.510 5.698 1.510 -1.510 5.698 1.510 1.510 -5.698" Properties=species:S:1:pos:R:3 pbc="T T T"
Y 0.000 0.000 0.000
Co 0.000 0.000 3.484
Re 0.000 0.000 7.957
```

=====

Record 3
YCo2Re2 | PBE | relaxed

## Properties
space-group type = I4/mmm, No. 139
energy above the most stable polymorph in this dataset = 0.118 eV per atom
DFT formation energy = 0.160 eV per atom
VASP energy = -44.77 eV/cell
crystal system = tetragonal

Structure (extended XYZ):
```
5
Lattice="-2.056 2.056 5.023 2.056 -2.056 5.023 2.056 2.056 -5.023" Properties=species:S:1:pos:R:3 pbc="T T T"
Y 0.000 0.000 0.000
Co 2.056 0.000 2.512
Co 0.000 2.056 2.512
Re 0.000 0.000 3.810
Re 0.000 0.000 6.236
```

=====

Which of these has the highest VASP energy? YCoRe

=====

Which of these has the lowest energy above the most stable polymorph in this dataset? number 3

=====

What did the first record say?
YCo2Re2 | PBE | relaxed

## Properties
space-group type = P4/mbm, No. 127
energy above the most stable polymorph in this dataset = 0.164 eV per atom
DFT formation energy = 0.206 eV per atom
VASP energy = -89.09 eV/cell
crystal system = tetragonal

Structure (extended XYZ):
```
10
Lattice="7.482 0.000 0.000 0.000 7.482 0.000 0.000 0.000 2.678" Properties=species:S:1:pos:R:3 pbc="T T T"
Y 0.000 0.000 0.000
Y 3.741 3.741 0.000
Co 0.894 2.847 0.000
Co 2.847 6.588 0.000
Co 4.635 0.894 0.000
Co 6.588 4.635 0.000
Re 1.278 5.019 1.339
Re 2.463 1.278 1.339
Re 5.019 6.204 1.339
Re 6.204 2.463 1.339
```